The following is a PBE calculation of a relaxed structure of VNiSeBr2, from Alexandria via LeMat-Bulk.

Computed properties:
Fermi-level density of states = 2.7292 states/eV/atom
E_form (uncorrected) = 0.318 eV/atom

Lattice parameters (Å, degrees): 5.177 5.177 4.758 90.00 90.00 90.00
Space group P4/mmm (No. 123)
Symmetry-distinct sites (fractional):
V (0.000, 0.000, 0.000) (multiplicity 1)
Ni (0.500, 0.500, 0.500) (multiplicity 1)
Se (0.000, 0.000, 0.500) (multiplicity 1)
Br (0.000, 0.500, 0.000) (multiplicity 2)

---

The following is a PBE calculation of a relaxed structure of VNiSe2Br, from Alexandria via LeMat-Bulk.

Computed properties:
Fermi-level density of states = 1.1183 states/eV/atom
E_form (uncorrected) = 0.386 eV/atom

Lattice parameters (Å, degrees): 4.705 4.705 4.833 90.00 90.00 90.00
Space group P4/mmm (No. 123)
Symmetry-distinct sites (fractional):
V (0.000, 0.000, 0.000) (multiplicity 1)
Ni (0.500, 0.500, 0.500) (multiplicity 1)
Se (0.000, 0.500, 0.500) (multiplicity 2)
Br (0.500, 0.500, 0.000) (multiplicity 1)

---

The following is a PBE calculation of a relaxed structure of VNiSeBr2, from Alexandria via LeMat-Bulk.

Computed properties:
Fermi-level density of states = 1.1188 states/eV/atom
E_form (uncorrected) = 0.334 eV/atom

Lattice parameters (Å, degrees): 4.759 4.759 5.024 90.00 90.00 90.00
Space group P4/mmm (No. 123)
Symmetry-distinct sites (fractional):
V (0.000, 0.000, 0.000) (multiplicity 1)
Ni (0.500, 0.500, 0.500) (multiplicity 1)
Se (0.500, 0.500, 0.000) (multiplicity 1)
Br (0.000, 0.500, 0.500) (multiplicity 2)